[1]
PrThPdPt | GGA-PBE | optimized geometry Values from VASP.

Its density of states at the Fermi level is 0.733 states/eV per atom. As for the total DFT energy (no corrections): -27.41 eV for the cell shown. The calculation puts the formation energy at -0.995 eV/atom. Its symmetry is Amm2.

Geometry as Quantum ESPRESSO input:
```
&SYSTEM
  ibrav = 0, nat = 4, ntyp = 4
/
ATOMIC_SPECIES
Pr 140.91 Pr.upf
Th 232.04 Th.upf
Pd 106.42 Pd.upf
Pt 195.08 Pt.upf
CELL_PARAMETERS angstrom
3.889 0.000 0.000
0.000 4.478 0.000
-1.944 0.000 5.710
ATOMIC_POSITIONS crystal
Pr 0.140 0.000 0.279
Th 0.868 0.500 0.737
Pd 0.587 0.500 0.175
Pt 0.405 0.000 0.809
```

[2]
PrThPdPt | GGA-PBE | optimized geometry Values from VASP.

Its density of states at the Fermi level is 0.850 states/eV per atom. As for the total DFT energy (no corrections): -26.80 eV for the cell shown. The calculation puts the formation energy at -0.842 eV/atom. Its symmetry is F-43m.

Geometry as Quantum ESPRESSO input:
```
&SYSTEM
  ibrav = 0, nat = 4, ntyp = 4
/
ATOMIC_SPECIES
Pr 140.91 Pr.upf
Pd 106.42 Pd.upf
Pt 195.08 Pt.upf
Th 232.04 Th.upf
CELL_PARAMETERS angstrom
5.134 0.000 0.000
2.567 4.446 0.000
2.567 1.482 4.192
ATOMIC_POSITIONS crystal
Pr 0.500 0.500 0.500
Pd 0.250 0.250 0.250
Pt 0.750 0.750 0.750
Th 0.000 0.000 0.000
```

[3]
PrTlPdPt | GGA-PBE | optimized geometry Values from VASP.

Its density of states at the Fermi level is 0.774 states/eV per atom. As for the total DFT energy (no corrections): -20.79 eV for the cell shown. The calculation puts the formation energy at -0.602 eV/atom. Its symmetry is F-43m.

Geometry as Quantum ESPRESSO input:
```
&SYSTEM
  ibrav = 0, nat = 4, ntyp = 4
/
ATOMIC_SPECIES
Pr 140.91 Pr.upf
Tl 204.38 Tl.upf
Pd 106.42 Pd.upf
Pt 195.08 Pt.upf
CELL_PARAMETERS angstrom
-1.771 -1.160 -4.495
-1.894 -4.516 -0.834
-4.890 -0.556 -0.676
ATOMIC_POSITIONS crystal
Pr 0.000 0.000 0.000
Tl 0.500 0.500 0.500
Pd 0.250 0.250 0.250
Pt 0.750 0.750 0.750
```